No. 1
Sr2CaTi3O9 | PBEsol | optimized geometry

a = 5.4904 Å, b = 5.4871 Å, c = 23.1554 Å
α = 90.00°, β = 90.00°, γ = 90.01°
Fractional coordinates of all 60 atoms:
O  0.7333  0.7416  0.2596
O  0.7185  0.7228  0.4081
O  0.7297  0.7381  0.9256
O  0.2287  0.7694  0.2562
O  0.2287  0.7694  0.7438
O  0.9711  0.5684  0.5000
O  0.0081  0.4545  0.3342
O  0.2170  0.7781  0.5889
O  0.2685  0.2768  0.9040
O  0.9669  0.5452  0.8329
O  0.2653  0.2737  0.7615
O  0.2251  0.7725  0.9213
O  0.4880  0.0447  0.6656
O  0.5044  0.9417  0.8329
O  0.2685  0.2768  0.0960
O  0.7753  0.2198  0.5716
O  0.2653  0.2737  0.2385
O  0.9669  0.5452  0.1671
O  0.0122  0.4582  0.0000
O  0.7753  0.2198  0.4284
O  0.4880  0.0447  0.3344
O  0.7185  0.7228  0.5919
O  0.2753  0.2807  0.4307
O  0.2753  0.2807  0.5693
O  0.7593  0.2385  0.9105
O  0.7558  0.2424  0.7563
O  0.7593  0.2385  0.0895
O  0.2251  0.7725  0.0787
O  0.5044  0.9417  0.1671
O  0.4805  0.0416  0.0000
O  0.7333  0.7416  0.7404
O  0.2170  0.7781  0.4111
O  0.0081  0.4545  0.6658
O  0.4845  0.9298  0.5000
O  0.7297  0.7381  0.0744
O  0.7558  0.2424  0.2437
Ti  0.0077  0.4978  0.0845
Ti  0.5041  0.9951  0.2503
Ti  0.5146  0.9924  0.5814
Ti  0.0158  0.5012  0.4190
Ti  0.0158  0.5012  0.5810
Ti  0.5146  0.9924  0.4186
Ti  0.5043  0.9940  0.9159
Ti  0.5043  0.9940  0.0841
Ti  0.5041  0.9951  0.7497
Ti  0.0058  0.4976  0.2500
Ti  0.0058  0.4976  0.7500
Ti  0.0077  0.4978  0.9155
Sr  0.0104  0.0016  0.1672
Sr  0.4923  0.4981  0.6671
Sr  0.0104  0.0016  0.8328
Sr  0.9908  0.9956  0.6657
Sr  0.4923  0.4981  0.3329
Sr  0.9908  0.9956  0.3343
Sr  0.4949  0.4969  0.0000
Sr  0.9905  0.9947  0.0000
Ca  0.0422  0.0027  0.5000
Ca  0.5407  0.4921  0.5000
Ca  0.5267  0.4940  0.8330
Ca  0.5267  0.4940  0.1670

Summary:
**Offset from the most stable computed form**: 0 meV per atom

***

No. 2
TeRuW2 | PBEsol | optimized geometry

a = 3.1764 Å, b = 4.4464 Å, c = 5.3367 Å
α = 114.62°, β = 107.31°, γ = 90.00°
Fractional coordinates of all 4 atoms:
W  0.7388  0.7388  0.4775
W  0.2612  0.2612  0.5225
Te  0.0000  0.5000  0.0000
Ru  0.5000  0.0000  0.0000

***

Going through the records in order, we get E values of -8.391, -9.790 eV per atom.